Entry 1:
A relaxed SmDy6Pd2 crystal. Source: Alexandria via LeMat-Bulk, functional GGA-PBE.

Cell lengths 6.2689, 6.2689, 9.8348 Å; angles 121.00, 121.00, 50.66 degrees
Element x y z (fractional)
Sm  0.0000  0.0000  0.0000
Dy  0.1177  0.1177  0.4347
Dy  0.2875  0.2875  0.9237
Dy  0.3645  0.3645  0.3170
Dy  0.6355  0.6355  0.6830
Dy  0.7125  0.7125  0.0763
Dy  0.8823  0.8823  0.5653
Pd  0.4152  0.4152  0.7394
Pd  0.5848  0.5848  0.2606

Calculated formation energy (eV/f.u.): -3.03
Energy (eV per atom): -5.083
SG: No. 12
Magnetization (μB per cell): 0.0
Volume (Å³ per cell): 246

Entry 2:
A relaxed SmDy4Pd2 crystal. Source: Alexandria via LeMat-Bulk, functional GGA-PBE.

Cell lengths 15.2938, 15.2938, 15.2938 Å; angles 14.85, 14.85, 14.85 degrees
Element x y z (fractional)
Sm  0.0000  0.0000  0.0000
Dy  0.1978  0.1978  0.1978
Dy  0.3961  0.3961  0.3961
Dy  0.6039  0.6039  0.6039
Dy  0.8022  0.8022  0.8022
Pd  0.0992  0.0992  0.0992
Pd  0.9008  0.9008  0.9008

Energy relative to the lowest polymorph listed for this composition (meV per atom): 63
Calculated formation energy (eV/f.u.): -2.54
Energy (eV per atom): -5.150
SG: No. 166
Magnetization (μB per cell): 0.0
Volume (Å³ per cell): 205

Entry 3:
A relaxed SmDy3Pd crystal. Source: Alexandria via LeMat-Bulk, functional GGA-PBE.

Cell lengths 5.4693, 5.4693, 5.4693 Å; angles 90.00, 90.00, 90.00 degrees
Element x y z (fractional)
Sm  0.0000  0.0000  0.0000
Dy  0.0000  0.5000  0.5000
Dy  0.5000  0.0000  0.5000
Dy  0.5000  0.5000  0.0000
Pd  0.5000  0.5000  0.5000

Energy relative to the lowest polymorph listed for this composition (meV per atom): 114
Calculated formation energy (eV/f.u.): -0.73
Energy (eV per atom): -4.890
SG: No. 221
Magnetization (μB per cell): 0.0
Volume (Å³ per cell): 164